#a
{"formula": "Cs3K2Na", "functional": "PBE-GGA", "state": "optimized geometry", "lattice": [[11.741, -4.681, 0.000], [11.741, 4.681, 0.000], [-1.545, 0.000, 9.315]], "species": ["Cs", "Cs", "Cs", "Cs", "Cs", "Cs", "K", "K", "K", "K", "Na", "Na"], "frac_coords": [[0.227, 0.773, 0.750], [0.274, 0.399, 0.970], [0.399, 0.274, 0.470], [0.601, 0.726, 0.530], [0.726, 0.601, 0.030], [0.773, 0.227, 0.250], [0.086, 0.219, 0.631], [0.219, 0.086, 0.131], [0.781, 0.914, 0.869], [0.914, 0.781, 0.369], [0.270, 0.730, 0.250], [0.730, 0.270, 0.750]]}

---

#b
{"formula": "Cs3K2Na", "functional": "PBE-GGA", "state": "optimized geometry", "lattice": [[5.392, 0.000, 0.000], [0.000, 5.392, 0.000], [0.000, 0.000, 17.465]], "species": ["Cs", "Cs", "Cs", "K", "K", "Na"], "frac_coords": [[0.000, 0.000, 0.000], [0.000, 0.000, 0.358], [0.000, 0.000, 0.642], [0.500, 0.500, 0.181], [0.500, 0.500, 0.819], [0.500, 0.500, 0.500]]}

---

Among the structures shown above, #b is the most stable, with the second-best lying 22 meV/atom higher.